1.
This record from Alexandria via LeMat-Bulk describes a crystal of Al2PW relaxed with PBEsol. The functional is SCAN.

Values from the calculation:
- DOS at the Fermi energy: 1.9 states/eV/f.u.
- Total DFT energy (no corrections): -23.6307 eV per atom
- Formation enthalpy at 0 K: 0.27 eV/atom

Cell lengths 5.263, 5.263, 2.982 Å; angles 106.19, 106.19, 120.05 degrees
Fractional coordinates of all 4 atoms:
Al (0.000, 0.500, 0.000)
Al (0.500, 0.000, 0.000)
P (0.000, 0.000, 0.000)
W (0.500, 0.500, 0.000)

2.
This record from Alexandria via LeMat-Bulk describes a crystal of Sr2ZnGe2O7 relaxed with PBEsol. The functional is SCAN.

Values from the calculation:
- DOS at the Fermi energy: 0.0 states/eV/f.u.
- Total DFT energy (no corrections): -14.0428 eV per atom
- Uncorrected formation energy: -2.388 eV per atom

Cell lengths 8.136, 8.136, 5.320 Å; angles 90.00, 90.00, 90.00 degrees
Fractional coordinates of all 24 atoms:
Sr (0.165, 0.335, 0.007)
Sr (0.335, 0.835, 0.993)
Sr (0.665, 0.165, 0.993)
Sr (0.835, 0.665, 0.007)
Zn (0.000, 0.000, 0.500)
Zn (0.500, 0.500, 0.500)
Ge (0.143, 0.643, 0.547)
Ge (0.357, 0.143, 0.453)
Ge (0.643, 0.857, 0.453)
Ge (0.857, 0.357, 0.547)
O (0.000, 0.500, 0.683)
O (0.082, 0.822, 0.710)
O (0.138, 0.638, 0.222)
O (0.178, 0.082, 0.290)
O (0.322, 0.582, 0.710)
O (0.362, 0.138, 0.778)
O (0.418, 0.322, 0.290)
O (0.500, 0.000, 0.317)
O (0.582, 0.678, 0.290)
O (0.638, 0.862, 0.778)
O (0.678, 0.418, 0.710)
O (0.822, 0.918, 0.290)
O (0.862, 0.362, 0.222)
O (0.918, 0.178, 0.710)

3.
This record from Alexandria via LeMat-Bulk describes a crystal of TbH2Br relaxed with PBEsol. The functional is SCAN.

Values from the calculation:
- DOS at the Fermi energy: 0.0 states/eV/f.u.
- Total DFT energy (no corrections): -19.5069 eV per atom

Cell lengths 10.432, 10.432, 10.432 Å; angles 20.53, 20.53, 20.53 degrees
Fractional coordinates of all 8 atoms:
Tb (0.115, 0.115, 0.115)
Tb (0.885, 0.885, 0.885)
H (0.187, 0.187, 0.187)
H (0.455, 0.455, 0.455)
H (0.545, 0.545, 0.545)
H (0.813, 0.813, 0.813)
Br (0.281, 0.281, 0.281)
Br (0.719, 0.719, 0.719)

4.
This record from Alexandria via LeMat-Bulk describes a crystal of VPO5 relaxed with PBEsol. The functional is SCAN.

Values from the calculation:
- DOS at the Fermi energy: 0.0 states/eV/f.u.
- Total DFT energy (no corrections): -10.8924 eV per atom
- Uncorrected formation energy: -2.458 eV per atom

Cell lengths 6.190, 6.190, 4.292 Å; angles 90.00, 90.00, 90.00 degrees
Fractional coordinates of all 14 atoms:
V (0.250, 0.250, 0.121)
V (0.750, 0.750, 0.879)
P (0.250, 0.750, 0.000)
P (0.750, 0.250, 0.000)
O (0.048, 0.750, 0.789)
O (0.250, 0.250, 0.752)
O (0.250, 0.548, 0.211)
O (0.250, 0.952, 0.211)
O (0.452, 0.750, 0.789)
O (0.548, 0.250, 0.211)
O (0.750, 0.048, 0.789)
O (0.750, 0.452, 0.789)
O (0.750, 0.750, 0.248)
O (0.952, 0.250, 0.211)

5.
This record from Alexandria via LeMat-Bulk describes a crystal of K2CoSi relaxed with PBEsol. The functional is SCAN.

Values from the calculation:
- DOS at the Fermi energy: 2.3 states/eV/f.u.
- Total DFT energy (no corrections): -10.1234 eV per atom
- Uncorrected formation energy: 0.871 eV per atom

Cell lengths 4.000, 4.000, 5.354 Å; angles 90.00, 90.00, 90.00 degrees
Fractional coordinates of all 4 atoms:
K (0.000, 0.500, 0.000)
K (0.500, 0.000, 0.000)
Co (0.000, 0.000, 0.500)
Si (0.500, 0.500, 0.500)

6.
This record from Alexandria via LeMat-Bulk describes a crystal of HgTe4Pb relaxed with PBEsol. The functional is SCAN.

Values from the calculation:
- DOS at the Fermi energy: 4.6 states/eV/f.u.
- Total DFT energy (no corrections): -48.5802 eV per atom
- Uncorrected formation energy: 0.245 eV per atom

Cell lengths 6.348, 6.348, 6.348 Å; angles 60.00, 60.00, 60.00 degrees
Fractional coordinates of all 6 atoms:
Hg (0.000, 0.000, 0.000)
Te (0.126, 0.625, 0.625)
Te (0.625, 0.126, 0.625)
Te (0.625, 0.625, 0.126)
Te (0.625, 0.625, 0.625)
Pb (0.250, 0.250, 0.250)

Which value of total DFT energy (no corrections) does entry 5 give? -10.1234 eV per atom

Which formula does entry 6 have? HgTe4Pb

Among the records above, which one has the highest DOS at the Fermi energy? HgTe4Pb